DFT (PBE-GGA) results for crystalline RbCdSi at its relaxed geometry.

## Properties
E ... -2.3862 eV per atom
Size of the total moment ... 0.00 μB/f.u.
Energy relative to the lowest polymorph listed for this composition ... 31 meV/atom
V ... 185 Å³/cell
ΔE_f (raw) ... 1.1 kcal/mol of atoms

abc: 6.6605 6.6605 8.7362
angles: 120.75 120.75 34.49
Element x y z (fractional)
Rb (0.0000, 0.0000, 0.0000)
Rb (0.1591, 0.1591, 0.7446)
Cd (0.4904, 0.4904, 0.3567)
Cd (0.7859, 0.7859, 0.1902)
Si (0.3608, 0.3608, 0.5414)
Si (0.7294, 0.7294, 0.4458)